## CaTeAu3 (SCAN)

Data for a PBEsol-optimized structure of CaTeAu3.

a = 5.1975 Å, b = 5.1975 Å, c = 5.1975 Å
α = 90.00°, β = 90.00°, γ = 90.00°
Closest atoms and distances in Å follow each position.
Sites, in units of the cell vectors:
Ca (0.0000, 0.0000, 0.0000)  12 Au 3.68
Te (0.5000, 0.5000, 0.5000)  6 Au 2.60
Au (0.0000, 0.5000, 0.5000)  2 Te 2.60
Au (0.5000, 0.0000, 0.5000)  2 Te 2.60
Au (0.5000, 0.5000, 0.0000)  2 Te 2.60

ΔE_f (raw) in eV/atom: -0.0773

=====

## CaTiAu2 (SCAN)

Data for a PBEsol-optimized structure of CaTiAu2.

a = 4.7733 Å, b = 4.7733 Å, c = 4.7733 Å
α = 60.00°, β = 60.00°, γ = 60.00°
Closest atoms and distances in Å follow each position.
Sites, in units of the cell vectors:
Ca (0.0000, 0.0000, 0.0000)  8 Au 2.92
Ti (0.5000, 0.5000, 0.5000)  8 Au 2.92
Au (0.2500, 0.2500, 0.2500)  4 Ca 2.92, 4 Ti 2.92
Au (0.7500, 0.7500, 0.7500)  4 Ca 2.92, 4 Ti 2.92

Formation energy from the elements in meV per atom: -542

=====

## Ca2TlAu (SCAN)

Data for a PBEsol-optimized structure of Ca2TlAu.

a = 5.2103 Å, b = 5.2103 Å, c = 3.6741 Å
α = 90.00°, β = 90.00°, γ = 90.00°
Closest atoms and distances in Å follow each position.
Sites, in units of the cell vectors:
Ca (0.0000, 0.5000, 0.0000)  4 Tl 3.19, 4 Au 3.19
Ca (0.5000, 0.0000, 0.0000)  4 Tl 3.19, 4 Au 3.19
Tl (0.0000, 0.0000, 0.5000)  8 Ca 3.19
Au (0.5000, 0.5000, 0.5000)  8 Ca 3.19

Formation energy from the elements in meV per atom: -746

=====

These records have density of states at the Fermi level values of 3.55 3.03 2.13 states/eV per cell, in the order they appear.
These records have volume values of 28.08 19.23 24.93 Å³ per atom, in the order they appear.